1.
First-principles (GGA-PBE) data for a relaxed Ba2TcS4 crystal, as listed in OQMD via LeMat-Bulk.

crystal system: tetragonal
VASP energy: -5.644 eV/atom

abc: 4.791 4.791 15.662
angles: 90.00 90.00 90.00
Atoms (fractional coordinates):
Ba1 0.000 0.000 0.141
Ba2 0.000 0.000 0.859
Ba3 0.500 0.500 0.359
Ba4 0.500 0.500 0.641
Tc1 0.000 0.000 0.500
Tc2 0.500 0.500 0.000
S1 0.000 0.000 0.342
S2 0.000 0.000 0.658
S3 0.000 0.500 0.000
S4 0.000 0.500 0.500
S5 0.500 0.000 0.000
S6 0.500 0.000 0.500
S7 0.500 0.500 0.158
S8 0.500 0.500 0.842


2.
First-principles (GGA-PBE) data for a relaxed Ba2YTcS6 crystal, as listed in OQMD via LeMat-Bulk.

energy relative to the lowest polymorph listed for this composition: 0 meV/atom
crystal system: triclinic

abc: 6.994 7.003 7.040
angles: 61.63 61.00 60.54
Atoms (fractional coordinates):
Ba1 0.249 0.254 0.245
Ba2 0.751 0.746 0.755
Y1 0.500 0.500 0.500
Tc1 0.000 0.000 0.000
S1 0.199 0.275 0.791
S2 0.228 0.829 0.699
S3 0.283 0.736 0.191
S4 0.717 0.264 0.809
S5 0.772 0.171 0.301
S6 0.801 0.725 0.209


3.
First-principles (GGA-PBE) data for a relaxed Ba2YTcS6 crystal, as listed in OQMD via LeMat-Bulk.

energy relative to the lowest polymorph listed for this composition: 17 meV/atom
crystal system: tetragonal

abc: 7.081 7.081 7.081
angles: 120.01 120.01 89.99
Atoms (fractional coordinates):
Ba1 0.250 0.750 0.500
Ba2 0.750 0.250 0.500
Y1 0.000 0.000 0.000
Tc1 0.500 0.500 0.000
S1 0.255 0.270 0.525
S2 0.263 0.263 0.000
S3 0.270 0.745 0.015
S4 0.730 0.255 0.985
S5 0.737 0.737 0.000
S6 0.745 0.730 0.475


4.
First-principles (GGA-PBE) data for a relaxed Ba2YTcS6 crystal, as listed in OQMD via LeMat-Bulk.

energy relative to the lowest polymorph listed for this composition: 18 meV/atom
crystal system: cubic

abc: 7.078 7.078 7.078
angles: 60.00 60.00 60.00
Atoms (fractional coordinates):
Ba1 0.250 0.250 0.250
Ba2 0.750 0.750 0.750
Y1 0.000 0.000 0.000
Tc1 0.500 0.500 0.500
S1 0.263 0.263 0.737
S2 0.263 0.737 0.263
S3 0.263 0.737 0.737
S4 0.737 0.263 0.263
S5 0.737 0.263 0.737
S6 0.737 0.737 0.263


5.
First-principles (GGA-PBE) data for a relaxed Ba2YTcS6 crystal, as listed in OQMD via LeMat-Bulk.

energy relative to the lowest polymorph listed for this composition: 0 meV/atom
crystal system: monoclinic

abc: 7.024 7.024 7.207
angles: 120.30 120.30 59.62
Atoms (fractional coordinates):
Ba1 0.249 0.249 0.245
Ba2 0.751 0.751 0.755
Y1 0.000 0.000 0.500
Tc1 0.500 0.500 0.000
S1 0.225 0.704 0.198
S2 0.264 0.264 0.697
S3 0.296 0.775 0.802
S4 0.704 0.225 0.198
S5 0.736 0.736 0.303
S6 0.775 0.296 0.802


6.
First-principles (GGA-PBE) data for a relaxed Ba2YTcS6 crystal, as listed in OQMD via LeMat-Bulk.

energy relative to the lowest polymorph listed for this composition: 0 meV/atom
crystal system: trigonal

abc: 6.977 6.977 6.977
angles: 61.75 61.75 61.75
Atoms (fractional coordinates):
Ba1 0.248 0.248 0.248
Ba2 0.752 0.752 0.752
Y1 0.500 0.500 0.500
Tc1 0.000 0.000 0.000
S1 0.181 0.292 0.768
S2 0.232 0.819 0.708
S3 0.292 0.768 0.181
S4 0.708 0.232 0.819
S5 0.768 0.181 0.292
S6 0.819 0.708 0.232


7.
First-principles (GGA-PBE) data for a relaxed BaTh2S5 crystal, as listed in OQMD via LeMat-Bulk.

crystal system: monoclinic
VASP energy: -6.747 eV/atom

abc: 8.658 7.678 12.165
angles: 90.00 90.28 90.00
Atoms (fractional coordinates):
Ba1 0.010 0.050 0.332
Ba2 0.010 0.450 0.832
Ba3 0.990 0.550 0.168
Ba4 0.990 0.950 0.668
Th1 0.253 0.568 0.492
Th2 0.253 0.932 0.992
Th3 0.498 0.520 0.179
Th4 0.498 0.980 0.679
Th5 0.502 0.020 0.321
Th6 0.502 0.480 0.821
Th7 0.747 0.068 0.008
Th8 0.747 0.432 0.508
S1 0.036 0.175 0.077
S2 0.036 0.325 0.577
S3 0.274 0.691 0.715
S4 0.274 0.809 0.215
S5 0.285 0.166 0.813
S6 0.285 0.334 0.313
S7 0.290 0.550 0.998
S8 0.290 0.950 0.498
S9 0.460 0.160 0.102
S10 0.460 0.340 0.602
S11 0.540 0.660 0.398
S12 0.540 0.840 0.898
S13 0.710 0.050 0.502
S14 0.710 0.450 0.002
S15 0.715 0.666 0.687
S16 0.715 0.834 0.187
S17 0.726 0.191 0.785
S18 0.726 0.309 0.285
S19 0.964 0.675 0.423
S20 0.964 0.825 0.923


8.
First-principles (GGA-PBE) data for a relaxed Ba2ThS6 crystal, as listed in OQMD via LeMat-Bulk.

crystal system: tetragonal
VASP energy: -5.654 eV/atom

abc: 5.532 5.532 16.156
angles: 90.00 90.00 90.00
Atoms (fractional coordinates):
Ba1 0.250 0.750 0.114
Ba2 0.250 0.750 0.386
Ba3 0.750 0.250 0.614
Ba4 0.750 0.250 0.886
Th1 0.250 0.750 0.750
Th2 0.750 0.250 0.250
S1 0.061 0.750 0.583
S2 0.250 0.250 0.224
S3 0.250 0.250 0.724
S4 0.250 0.561 0.917
S5 0.250 0.939 0.917
S6 0.439 0.750 0.583
S7 0.561 0.250 0.417
S8 0.750 0.061 0.083
S9 0.750 0.439 0.083
S10 0.750 0.750 0.276
S11 0.750 0.750 0.776
S12 0.939 0.250 0.417


| no. | size of the total moment (μB per atom) |
| --- | --- |
| 1 | 0.390 |
| 2 | 0.198 |
| 3 | 0.210 |
| 4 | 0.211 |
| 5 | 0.198 |
| 6 | 0.198 |
| 7 | 0.000 |
| 8 | 0.002 |